1.
## Ba2CdPt (PBE)

Data for crystalline Ba2CdPt at its relaxed geometry.

Unit cell a=7.3431 b=7.3431 c=7.3431 alpha=148.76 beta=137.70 gamma=53.51
Sites, in units of the cell vectors:
1 Ba 0.0527 0.0527 0.0000
2 Ba 0.7545 0.2545 0.5000
3 Pt 0.2647 0.7647 0.5000
4 Cd 0.4281 0.4281 0.0000

Properties
V ... 34.3 Å³ per atom
Space group ... Imm2, No. 44
Raw total energy ... -3.111 eV per atom
Formation energy from the elements ... -0.411 eV/atom



2.
## Al4ReRu5 (PBE)

Data for crystalline Al4ReRu5 at its relaxed geometry.

Unit cell a=2.9716 b=2.9716 c=15.5294 alpha=90.00 beta=90.00 gamma=90.00
Sites, in units of the cell vectors:
1 Al 0.0000 0.0000 0.2100
2 Al 0.0000 0.0000 0.4020
3 Al 0.0000 0.0000 0.5980
4 Al 0.0000 0.0000 0.7900
5 Re 0.0000 0.0000 0.0000
6 Ru 0.5000 0.5000 0.1066
7 Ru 0.5000 0.5000 0.3042
8 Ru 0.5000 0.5000 0.5000
9 Ru 0.5000 0.5000 0.6958
10 Ru 0.5000 0.5000 0.8934

Properties
V ... 13.7 Å³ per atom
Space group ... P4/mmm, No. 123
Raw total energy ... -7.906 eV per atom
Formation energy from the elements ... -0.526 eV/atom



3.
## AcTb12Er6 (PBE)

Data for crystalline AcTb12Er6 at its relaxed geometry.

Unit cell a=9.2425 b=9.2425 c=9.2425 alpha=106.96 beta=106.96 gamma=106.96
Sites, in units of the cell vectors:
1 Ac 0.0000 0.0000 0.0000
2 Tb 0.8883 0.1117 0.5000
3 Tb 0.3839 0.1607 0.3839
4 Tb 0.3839 0.3839 0.1607
5 Tb 0.8393 0.6161 0.6161
6 Tb 0.6161 0.6161 0.8393
7 Tb 0.6161 0.8393 0.6161
8 Tb 0.5000 0.8883 0.1117
9 Tb 0.1117 0.5000 0.8883
10 Tb 0.1117 0.8883 0.5000
11 Tb 0.5000 0.1117 0.8883
12 Tb 0.8883 0.5000 0.1117
13 Tb 0.1607 0.3839 0.3839
14 Er 0.6979 0.2676 0.6979
15 Er 0.6979 0.6979 0.2676
16 Er 0.2676 0.6979 0.6979
17 Er 0.3021 0.3021 0.7323
18 Er 0.3021 0.7323 0.3021
19 Er 0.7323 0.3021 0.3021

Properties
V ... 34.6 Å³ per atom
Space group ... R-3m, No. 166
Raw total energy ... -4.169 eV per atom
Formation energy from the elements ... 0.413 eV/atom